(1)
## Ca2InH (SCAN)

Data for Ca2InH at its PBEsol-relaxed geometry.

Calculated values
The calculated total energy is -224.817 eV for the cell shown.

Unit cell a=7.321 b=7.321 c=7.321 alpha=90.00 beta=90.00 gamma=90.00
Space group Fm-3m (No. 225)
Unique sites:
Ca: 0.250 0.250 0.250 x8
In: 0.000 0.000 0.000 x4
H: 0.000 0.000 0.500 x4


(2)
## Li9V3P8O29 (SCAN)

Data for Li9V3P8O29 at its PBEsol-relaxed geometry.

Calculated values
For the formation energy from raw total energies, the calculation gives -2.605 eV per atom.

Unit cell a=9.7405 b=9.7405 c=13.5620 alpha=90.00 beta=90.00 gamma=120.00
Space group P-3c1 (No. 165)
Unique sites:
Li: 0.0000 0.0000 0.0000 x2
Li: 0.0987 0.3343 0.4364 x12
Li: 0.3333 0.6667 0.1212 x4
V: 0.0000 0.4332 0.2500 x6
P: 0.0893 0.3161 0.6547 x12
P: 0.3333 0.6667 0.3752 x4
O: 0.0000 0.2126 0.7500 x6
O: 0.0055 0.2295 0.9349 x12
O: 0.0770 0.3290 0.1543 x12
O: 0.1081 0.4815 0.6655 x12
O: 0.1877 0.5125 0.3353 x12
O: 0.3333 0.6667 0.4863 x4


(3)
## SrMn2Sb (SCAN)

Data for SrMn2Sb at its PBEsol-relaxed geometry.

Calculated values
For the formation energy from raw total energies, the calculation gives -0.347 eV per atom.

Unit cell a=4.1604 b=4.1604 c=17.8177 alpha=90.00 beta=90.00 gamma=120.00
Space group R3m (No. 160, hexagonal axes)
Unique sites:
Sr: 0.0000 0.0000 0.0000 x3
Mn: 0.0000 0.0000 0.4719 x3
Mn: 0.0000 0.0000 0.7936 x3
Sb: 0.0000 0.0000 0.2026 x3


(4)
## MgAuSe2Br (SCAN)

Data for MgAuSe2Br at its PBEsol-relaxed geometry.

Calculated values
For the formation energy from raw total energies, the calculation gives 0.078 eV per atom.

Unit cell a=5.081 b=5.081 c=5.037 alpha=90.00 beta=90.00 gamma=90.00
Space group P4/mmm (No. 123)
Unique sites:
Mg: 0.000 0.000 0.000 x1
Au: 0.500 0.500 0.500 x1
Se: 0.000 0.500 0.500 x2
Br: 0.500 0.500 0.000 x1


(5)
## Be2TcW (SCAN)

Data for Be2TcW at its PBEsol-relaxed geometry.

Calculated values
The formation energy from the elements is 0.148 eV/atom.

Unit cell a=5.658 b=5.658 c=5.658 alpha=90.00 beta=90.00 gamma=90.00
Space group Fm-3m (No. 225)
Unique sites:
Be: 0.250 0.250 0.250 x8
Tc: 0.000 0.000 0.000 x4
W: 0.000 0.000 0.500 x4


(6)
## MnSb2Rh (SCAN)

Data for MnSb2Rh at its PBEsol-relaxed geometry.

Calculated values
For the formation energy from raw total energies, the calculation gives 0.004 eV per atom.

Unit cell a=6.491 b=6.491 c=6.491 alpha=90.00 beta=90.00 gamma=90.00
Space group Fm-3m (No. 225)
Unique sites:
Mn: 0.000 0.000 0.000 x4
Sb: 0.250 0.250 0.250 x8
Rh: 0.000 0.000 0.500 x4


(7)
## ZnMoW2 (SCAN)

Data for ZnMoW2 at its PBEsol-relaxed geometry.

Calculated values
The formation energy from the elements is 0.338 eV/atom.

Unit cell a=5.450 b=8.362 c=2.665 alpha=90.00 beta=90.00 gamma=90.00
Space group Cmmm (No. 65)
Unique sites:
Zn: 0.000 0.000 0.000 x2
Mo: 0.000 0.500 0.000 x2
W: 0.250 0.250 0.500 x4


(8)
## BaCu2WBr (SCAN)

Data for BaCu2WBr at its PBEsol-relaxed geometry.

Calculated values
For the formation energy from raw total energies, the calculation gives 1.945 eV per atom.

Unit cell a=5.515 b=5.515 c=5.783 alpha=90.00 beta=90.00 gamma=90.00
Space group P4/mmm (No. 123)
Unique sites:
Ba: 0.000 0.000 0.000 x1
Cu: 0.000 0.500 0.000 x2
W: 0.500 0.500 0.500 x1
Br: 0.000 0.000 0.500 x1


(9)
## Na3Sb3As2O14 (SCAN)

Data for Na3Sb3As2O14 at its PBEsol-relaxed geometry.

Calculated values
For the formation energy from raw total energies, the calculation gives -1.644 eV per atom.

Unit cell a=6.489 b=7.308 c=12.597 alpha=90.00 beta=107.34 gamma=90.00
Space group P2_1/c (No. 14)
Unique sites:
Na: 0.000 0.000 0.000 x2
Na: 0.464 0.212 0.068 x4
Sb: 0.000 0.000 0.500 x2
Sb: 0.023 0.241 0.253 x4
As: 0.416 0.735 0.161 x4
O: 0.037 0.704 0.906 x4
O: 0.072 0.005 0.804 x4
O: 0.102 0.191 0.416 x4
O: 0.295 0.722 0.763 x4
O: 0.317 0.529 0.094 x4
O: 0.329 0.187 0.254 x4
O: 0.390 0.596 0.569 x4


(10)
## Co2SbBr (SCAN)

Data for Co2SbBr at its PBEsol-relaxed geometry.

Calculated values
For the formation energy from raw total energies, the calculation gives 0.397 eV per atom.

Unit cell a=3.993 b=3.189 c=5.198 alpha=90.00 beta=103.87 gamma=90.00
Space group P2/m (No. 10)
Unique sites:
Co: 0.000 0.000 0.000 x1
Co: 0.500 0.500 0.500 x1
Sb: 0.000 0.000 0.500 x1
Br: 0.500 0.500 0.000 x1


(11)
## TaIrAu (SCAN)

Data for TaIrAu at its PBEsol-relaxed geometry.

Calculated values
The formation energy from the elements is -0.443 eV/atom.

Unit cell a=2.908 b=3.840 c=8.539 alpha=90.00 beta=90.00 gamma=90.00
Space group Imm2 (No. 44)
Unique sites:
Ta: 0.000 0.000 0.000 x2
Ir: 0.000 0.000 0.346 x2
Au: 0.000 0.000 0.673 x2


(12)
## Re2SiPt (SCAN)

Data for Re2SiPt at its PBEsol-relaxed geometry.

Calculated values
For the formation energy from raw total energies, the calculation gives 0.124 eV per atom.

Unit cell a=3.729 b=3.729 c=4.086 alpha=90.00 beta=90.00 gamma=90.00
Space group P4/mmm (No. 123)
Unique sites:
Re: 0.000 0.500 0.000 x2
Si: 0.000 0.000 0.500 x1
Pt: 0.500 0.500 0.500 x1